Record 1
The following is a PBE calculation of a geometry-optimized TcHgP2S structure, from Alexandria via LeMat-Bulk.

Summary:
For the total magnetization, the calculation gives 0.00 μB per formula unit. The calculation puts the distance to the lowest polymorph of the same formula at 0 meV per atom. The density of states at the Fermi level comes out at 0.74 states/eV per atom. As for the energy relative to the elements, uncorrected: 0.44 eV per atom.

a = 4.5213 Å, b = 4.5213 Å, c = 5.1505 Å
α = 90.00°, β = 90.00°, γ = 90.00°
Space group P4/mmm (No. 123)
Symmetry-distinct sites (fractional):
Tc (0.0000, 0.0000, 0.0000) (multiplicity 1)
Hg (0.5000, 0.5000, 0.5000) (multiplicity 1)
P (0.0000, 0.5000, 0.0000) (multiplicity 2)
S (0.0000, 0.0000, 0.5000) (multiplicity 1)

---

Record 2
The following is a PBE calculation of a geometry-optimized Rb2In2Hg structure, from Alexandria via LeMat-Bulk.

Summary:
For the total magnetization, the calculation gives 0.00 μB per formula unit. The calculation puts the distance to the lowest polymorph of the same formula at 15 meV per atom. For the calculated formation energy, the calculation gives -0.053 eV per atom. The density of states at the Fermi level comes out at 0.88 states/eV per atom.

a = 4.3916 Å, b = 4.3916 Å, c = 22.2641 Å
α = 90.00°, β = 90.00°, γ = 90.00°
Space group I4/mmm (No. 139)
Symmetry-distinct sites (fractional):
Rb (0.0000, 0.0000, 0.1038) (multiplicity 4)
In (0.0000, 0.5000, 0.2500) (multiplicity 4)
Hg (0.0000, 0.0000, 0.5000) (multiplicity 2)

---

Record 3
The following is a PBE calculation of a geometry-optimized CeReSi2Tc structure, from Alexandria via LeMat-Bulk.

Summary:
For the total magnetization, the calculation gives 0.42 μB per formula unit. The density of states at the Fermi level comes out at 1.43 states/eV per atom. As for the energy relative to the elements, uncorrected: -0.53 eV per atom.

a = 4.1619 Å, b = 4.1619 Å, c = 10.1720 Å
α = 90.00°, β = 90.00°, γ = 90.00°
Space group I-4m2 (No. 119)
Symmetry-distinct sites (fractional):
Ce (0.0000, 0.0000, 0.0000) (multiplicity 2)
Re (0.0000, 0.5000, 0.2500) (multiplicity 2)
Si (0.0000, 0.0000, 0.3767) (multiplicity 4)
Tc (0.0000, 0.5000, 0.7500) (multiplicity 2)

---

Record 4
The following is a PBE calculation of a geometry-optimized Ca5Te4Se structure, from Alexandria via LeMat-Bulk.

Summary:
For the total magnetization, the calculation gives 0.00 μB per formula unit. The density of states at the Fermi level comes out at 0.00 states/eV per atom. As for the energy relative to the elements, uncorrected: -1.71 eV per atom.

a = 4.4499 Å, b = 6.3240 Å, c = 22.3442 Å
α = 90.00°, β = 90.00°, γ = 90.00°
Space group Immm (No. 71)
Symmetry-distinct sites (fractional):
Ca (0.0000, 0.0000, 0.0000) (multiplicity 2)
Ca (0.0000, 0.0000, 0.2018) (multiplicity 4)
Ca (0.0000, 0.0000, 0.4077) (multiplicity 4)
Te (0.0000, 0.5000, 0.1966) (multiplicity 4)
Te (0.0000, 0.5000, 0.4005) (multiplicity 4)
Se (0.0000, 0.5000, 0.0000) (multiplicity 2)

---

no.,energy (eV per atom)
1,-4.684
2,-1.596
3,-8.450
4,-4.318